1.
Density functional theory data (GGA-PBE) for an optimized crystal structure of MnCrTcRhW.

Cell and atoms, written as extended XYZ:
```
5
Lattice="4.287 -1.878 0.000 4.287 1.878 0.000 -4.229 0.000 4.304" Properties=species:S:1:pos:R:3 pbc="T T T"
Mn 0.000 0.000 0.000
Cr 1.642 0.000 3.491
Tc 5.050 0.000 1.702
Rh 2.492 0.000 0.833
W -0.926 0.000 2.609
```

=====

2.
Density functional theory data (GGA-PBE) for an optimized crystal structure of MnCrTcRhW.

Cell and atoms, written as extended XYZ:
```
5
Lattice="6.485 -1.985 0.000 6.485 1.985 0.000 -0.112 0.000 2.655" Properties=species:S:1:pos:R:3 pbc="T T T"
Mn 0.000 0.000 0.000
Cr 7.474 0.000 1.907
Tc 5.184 0.000 1.066
Rh 10.213 0.000 2.365
W 2.394 0.000 0.987
```

=====

3.
Density functional theory data (GGA-PBE) for an optimized crystal structure of MnCrTcRhW.

Cell and atoms, written as extended XYZ:
```
5
Lattice="4.025 0.000 0.000 -2.013 3.486 0.000 0.000 0.000 5.222" Properties=species:S:1:pos:R:3 pbc="T T T"
Mn 0.000 0.000 0.000
Cr 2.013 1.162 3.772
Tc 0.000 2.324 4.299
Rh 0.000 0.000 2.536
W 2.013 1.162 1.065
```

=====

4.
Density functional theory data (GGA-PBE) for an optimized crystal structure of MnCrTcRhW.

Cell and atoms, written as extended XYZ:
```
5
Lattice="4.804 -1.487 0.000 4.804 1.487 0.000 -4.796 0.000 4.852" Properties=species:S:1:pos:R:3 pbc="T T T"
Mn 0.000 0.000 0.000
Cr 0.977 0.000 3.233
Tc -2.003 0.000 4.095
Rh 3.982 0.000 2.008
W 6.635 0.000 1.249
```

=====

| no. | density of states at the Fermi level (states/eV/f.u.) | energy above the most stable polymorph in this dataset (meV/atom) | ΔE_f (kJ/mol of formula units) |
| --- | --- | --- | --- |
| 1 | 5.99 | 47 | 48 |
| 2 | 4.78 | 17 | 34 |
| 3 | 5.05 | 280 | 160 |
| 4 | 5.65 | 42 | 46 |